Below is a relaxed structure of MgAl2Se, with properties calculated at the PBE-GGA level.

Structure (extended XYZ):
```
8
Lattice="-5.2589 -0.3196 5.5509 0.2706 -7.6461 -0.1838 -0.4130 -3.9566 4.6567" Properties=species:S:1:pos:R:3 pbc="T T T"
Al -3.4857 -2.1525 4.7471
Al -2.1870 -5.7664 5.5097
Al -0.4620 -5.8001 1.6065
Al -4.6678 -10.1256 8.1842
Mg -1.3183 -7.7928 3.5782
Mg -2.4941 -3.9828 2.6836
Se -4.0830 -4.1295 6.4456
Se 0.0000 0.0000 0.0000
```

ΔE_f (raw): -0.07 eV per atom
Final energy: -3.211 eV/atom
Symmetry: I-42d, No. 122